(1)
Compound: BaSb2Pb2
Source: Alexandria via LeMat-Bulk
Functional: GGA-PBE
Structure: optimized geometry

Unit cell a=5.900 b=5.900 c=10.655 alpha=90.00 beta=90.00 gamma=90.00
Space group I4/mmm (No. 139)
Inequivalent atoms, fractional coordinates:
1 Ba 0.000 0.000 0.000 (multiplicity 2)
2 Sb 0.000 0.500 0.250 (multiplicity 4)
3 Pb 0.000 0.000 0.352 (multiplicity 4)

(2)
Compound: KMnS3
Source: Alexandria via LeMat-Bulk
Functional: GGA-PBE
Structure: optimized geometry

Unit cell a=6.1639 b=6.1639 c=20.6375 alpha=90.00 beta=90.00 gamma=120.00
Space group R-3m (No. 166, hexagonal axes)
Inequivalent atoms, fractional coordinates:
1 K 0.0000 0.0000 0.1182 (multiplicity 6)
2 Mn 0.0000 0.0000 0.3350 (multiplicity 6)
3 S 0.0040 0.5020 0.9320 (multiplicity 18)

(3)
Compound: Sr2CaH6Rh
Source: Alexandria via LeMat-Bulk
Functional: GGA-PBE
Structure: optimized geometry

Unit cell a=5.3407 b=5.3407 c=6.2154 alpha=90.00 beta=90.00 gamma=120.00
Space group P-3m1 (No. 164)
Inequivalent atoms, fractional coordinates:
1 Sr 0.3333 0.6667 0.1736 (multiplicity 2)
2 Ca 0.0000 0.0000 0.5000 (multiplicity 1)
3 H 0.1499 0.2998 0.8342 (multiplicity 6)
4 Rh 0.0000 0.0000 0.0000 (multiplicity 1)

(4)
Compound: CrNiAs2
Source: Alexandria via LeMat-Bulk
Functional: GGA-PBE
Structure: optimized geometry

Unit cell a=3.0669 b=3.0669 c=22.3330 alpha=90.00 beta=90.00 gamma=120.00
Space group R3m (No. 160, hexagonal axes)
Inequivalent atoms, fractional coordinates:
1 Cr 0.0000 0.0000 0.0000 (multiplicity 3)
2 Ni 0.0000 0.0000 0.7518 (multiplicity 3)
3 As 0.0000 0.0000 0.2608 (multiplicity 3)
4 As 0.0000 0.0000 0.4868 (multiplicity 3)

Output
energy of formation from the pure elements	5.51	kcal/mol of atoms

Values for calculated total energy, eV for the cell shown, ordered as above
-38.47 -153.39 -37.23 -71.24